<w>
Y2NbSb2, optimized geometry, DFT GGA-PBE; magnetic moment = 0.0 μB per formula unit; Fermi-level density of states = 1.077 states/eV per atom
1.0
4.2641 0.0000 0.0000
0.0000 4.2641 0.0000
0.0000 0.0000 14.3217
Y Nb Sb
4 2 4
Direct
0.0000 0.5000 0.2500
0.0000 0.5000 0.7500
0.5000 0.0000 0.2500
0.5000 0.0000 0.7500
0.0000 0.0000 0.0000
0.5000 0.5000 0.5000
0.0000 0.0000 0.4024
0.0000 0.0000 0.5976
0.5000 0.5000 0.0976
0.5000 0.5000 0.9024


<x>
Y2NbSb2, optimized geometry, DFT GGA-PBE; magnetic moment = 0.0 μB per formula unit; Fermi-level density of states = 1.114 states/eV per atom
1.0
7.5314 0.0000 0.0000
0.0000 7.5314 0.0000
0.0000 0.0000 4.3989
Y Nb Sb
4 2 4
Direct
0.1680 0.3320 0.0000
0.3320 0.8320 0.0000
0.6680 0.1680 0.0000
0.8320 0.6680 0.0000
0.0000 0.0000 0.5000
0.5000 0.5000 0.5000
0.1428 0.6428 0.5000
0.3572 0.1428 0.5000
0.6428 0.8572 0.5000
0.8572 0.3572 0.5000


Each structure's energy above the most stable one, in eV/atom: <w> 0.879; <x> 0.000.


<w>
NbZnSb3, optimized geometry, DFT GGA-PBE; magnetic moment = 2.7 μB per formula unit; Fermi-level density of states = 1.074 states/eV per atom
1.0
5.1400 0.0000 0.0000
0.0000 5.1400 0.0000
0.0000 0.0000 5.1400
Nb Zn Sb
1 1 3
Direct
0.0000 0.0000 0.0000
0.5000 0.5000 0.5000
0.0000 0.5000 0.5000
0.5000 0.0000 0.5000
0.5000 0.5000 0.0000


<x>
NbZnSb3, optimized geometry, DFT GGA-PBE; magnetic moment = 0.0 μB per formula unit; Fermi-level density of states = 0.639 states/eV per atom
1.0
5.3634 0.0000 0.0000
0.0000 5.3634 0.0000
0.0000 0.0000 5.3634
Nb Zn Sb
1 1 3
Direct
0.0000 0.0000 0.0000
0.5000 0.5000 0.5000
0.0000 0.0000 0.5000
0.0000 0.5000 0.0000
0.5000 0.0000 0.0000


Each structure's energy above the most stable one, in eV/atom: <w> 0.568; <x> 0.000.


<w>
Nb2ZnSb, optimized geometry, DFT GGA-PBE; magnetic moment = 0.0 μB per formula unit; Fermi-level density of states = 1.271 states/eV per atom
1.0
6.6345 0.0000 0.0000
0.0000 6.6345 0.0000
0.0000 0.0000 6.6345
Nb Zn Sb
8 4 4
Direct
0.2500 0.2500 0.2500
0.2500 0.2500 0.7500
0.2500 0.7500 0.2500
0.2500 0.7500 0.7500
0.7500 0.2500 0.2500
0.7500 0.2500 0.7500
0.7500 0.7500 0.2500
0.7500 0.7500 0.7500
0.0000 0.0000 0.0000
0.0000 0.5000 0.5000
0.5000 0.0000 0.5000
0.5000 0.5000 0.0000
0.0000 0.0000 0.5000
0.0000 0.5000 0.0000
0.5000 0.0000 0.0000
0.5000 0.5000 0.5000


<x>
Nb2ZnSb, optimized geometry, DFT GGA-PBE; magnetic moment = 0.0 μB per formula unit; Fermi-level density of states = 1.154 states/eV per atom
1.0
3.9641 0.0000 0.0000
0.0000 3.9641 0.0000
0.0000 0.0000 20.2178
Nb Zn Sb
8 4 4
Direct
0.2456 0.2500 0.1250
0.2500 0.7456 0.3750
0.2500 0.7544 0.8750
0.2544 0.2500 0.6250
0.7456 0.7500 0.6250
0.7500 0.2456 0.8750
0.7500 0.2544 0.3750
0.7544 0.7500 0.1250
0.0000 0.0000 0.0000
0.0000 0.5000 0.2500
0.5000 0.0000 0.7500
0.5000 0.5000 0.5000
0.0000 0.0000 0.5000
0.0000 0.5000 0.7500
0.5000 0.0000 0.2500
0.5000 0.5000 0.0000


Each structure's energy above the most stable one, in eV/atom: <w> 0.000; <x> 0.181.


<w>
Nb2ZnSb2, optimized geometry, DFT GGA-PBE; magnetic moment = 0.0 μB per formula unit; Fermi-level density of states = 0.421 states/eV per atom
1.0
7.4398 0.0000 0.0000
0.0000 7.4398 0.0000
0.0000 0.0000 3.7118
Nb Zn Sb
4 2 4
Direct
0.1441 0.3559 0.0000
0.3559 0.8559 0.0000
0.6441 0.1441 0.0000
0.8559 0.6441 0.0000
0.0000 0.0000 0.0000
0.5000 0.5000 0.0000
0.1529 0.6529 0.5000
0.3471 0.1529 0.5000
0.6529 0.8471 0.5000
0.8471 0.3471 0.5000


<x>
Nb2ZnSb2, optimized geometry, DFT GGA-PBE; magnetic moment = 0.0 μB per formula unit; Fermi-level density of states = 0.545 states/eV per atom
1.0
7.6927 0.0000 0.0000
0.0000 7.6927 0.0000
0.0000 0.0000 3.5067
Nb Zn Sb
4 2 4
Direct
0.1435 0.3565 0.0000
0.3565 0.8565 0.0000
0.6435 0.1435 0.0000
0.8565 0.6435 0.0000
0.0000 0.0000 0.5000
0.5000 0.5000 0.5000
0.1515 0.6515 0.5000
0.3485 0.1515 0.5000
0.6515 0.8485 0.5000
0.8485 0.3485 0.5000


Each structure's energy above the most stable one, in eV/atom: <w> 0.000; <x> 0.259.